1.
Density functional theory data (PBE) for crystalline NiBrCl2 at its relaxed geometry.

Summary:
Spin magnetization   0.78 μB/f.u.
E above lowest polymorph   1.02 eV/f.u.
VASP energy   -2.92 eV/atom
V   27.45 Å³/atom
Formation energy without anion corrections   -133 meV/atom
Theoretical density   3.2 g cm⁻³

a b c (Å): 11.852 3.203 7.373
angles (deg): 90.00 128.30 90.00
Space group Cm (No. 8)
Symmetry-distinct sites (fractional):
1 Ni 0.000 0.000 0.000 (multiplicity 2)
2 Br 0.176 0.500 0.175 (multiplicity 2)
3 Cl 0.341 0.000 0.842 (multiplicity 2)
4 Cl 0.485 0.000 0.485 (multiplicity 2)



2.
Density functional theory data (PBE) for crystalline NdMgZn2Ag5 at its relaxed geometry.

Summary:
Spin magnetization   0.00 μB/f.u.
VASP energy   -2.60 eV/atom
V   20.71 Å³/atom
DFT formation energy   -26 meV per atom
Theoretical density   7.5 g cm⁻³

a b c (Å): 4.882 4.882 7.821
angles (deg): 90.00 90.00 90.00
Space group P4/mmm (No. 123)
Symmetry-distinct sites (fractional):
1 Nd 0.000 0.000 0.000 (multiplicity 1)
2 Mg 0.000 0.000 0.500 (multiplicity 1)
3 Zn 0.500 0.500 0.346 (multiplicity 2)
4 Ag 0.000 0.500 0.253 (multiplicity 4)
5 Ag 0.500 0.500 0.000 (multiplicity 1)



3.
Density functional theory data (PBE) for crystalline NdDy2Te4 at its relaxed geometry.

Summary:
Spin magnetization   0.00 μB/f.u.
E above lowest polymorph   0.09 eV/f.u.
VASP energy   -5.18 eV/atom
V   33.14 Å³/atom
Formation energy without anion corrections   -1385 meV/atom
Theoretical density   7.0 g cm⁻³

a b c (Å): 4.300 14.373 15.013
angles (deg): 90.00 90.00 90.00
Space group Cmcm (No. 63)
Symmetry-distinct sites (fractional):
1 Nd 0.000 0.125 0.250 (multiplicity 4)
2 Dy 0.000 0.369 0.068 (multiplicity 8)
3 Te 0.000 0.000 0.000 (multiplicity 4)
4 Te 0.000 0.276 0.620 (multiplicity 8)
5 Te 0.000 0.461 0.250 (multiplicity 4)



4.
Density functional theory data (PBE) for crystalline KSrAg at its relaxed geometry.

Summary:
Spin magnetization   0.00 μB/f.u.
E above lowest polymorph   0.17 eV/f.u.
VASP energy   -1.87 eV/atom
V   46.29 Å³/atom
DFT formation energy   7 meV per atom
Theoretical density   2.8 g cm⁻³

a b c (Å): 4.4881 4.4881 7.9610
angles (deg): 90.00 90.00 120.00
Space group P3m1 (No. 156)
Symmetry-distinct sites (fractional):
1 K 0.0000 0.0000 0.0000 (multiplicity 1)
2 Sr 0.6667 0.3333 0.4822 (multiplicity 1)
3 Ag 0.3333 0.6667 0.7177 (multiplicity 1)